A geometry-optimized Bi2Se2Cl structure, computed with GGA-PBE.

Properties
Uncorrected energy, Ha/atom: -0.135

a b c (Å): 8.120 8.120 3.982
angles (deg): 90.00 90.00 90.00
Fractional coordinates of all 10 atoms:
1 Bi 0.342 0.842 0.000
2 Bi 0.842 0.658 0.000
3 Bi 0.658 0.158 0.000
4 Bi 0.158 0.342 0.000
5 Se 0.150 0.650 0.500
6 Se 0.650 0.850 0.500
7 Se 0.850 0.350 0.500
8 Se 0.350 0.150 0.500
9 Cl 0.000 0.000 0.000
10 Cl 0.500 0.500 0.000



A geometry-optimized ZnCdP2 structure, computed with GGA-PBE.

Properties
Formation energy, meV/atom: 382

a b c (Å): 9.839 9.839 9.839
angles (deg): 17.19 17.19 17.19
Fractional coordinates of all 4 atoms:
1 Cd 0.750 0.750 0.750
2 P 0.983 0.983 0.983
3 P 0.517 0.517 0.517
4 Zn 0.250 0.250 0.250



A geometry-optimized Tb2LuTl structure, computed with GGA-PBE.

Properties
Formation energy, meV/atom: -153

a b c (Å): 3.570 3.570 9.300
angles (deg): 90.00 90.00 90.00
Fractional coordinates of all 4 atoms:
1 Tl 0.500 0.500 0.000
2 Lu 0.500 0.500 0.500
3 Tb 0.000 0.000 0.765
4 Tb 0.000 0.000 0.235



A geometry-optimized Er2TcPbO8 structure, computed with GGA-PBE.

Properties
Uncorrected energy, Ha/atom: -0.271

a b c (Å): 4.974 4.973 6.820
angles (deg): 90.00 90.00 91.51
Fractional coordinates of all 12 atoms:
1 Er 0.500 0.500 0.755
2 Er 0.500 0.500 0.245
3 Tc 0.000 0.000 0.000
4 Pb 0.000 0.000 0.500
5 O 0.184 0.816 0.208
6 O 0.725 0.726 0.000
7 O 0.816 0.184 0.208
8 O 0.816 0.184 0.792
9 O 0.275 0.274 0.000
10 O 0.184 0.816 0.792
11 O 0.689 0.690 0.500
12 O 0.311 0.310 0.500



A geometry-optimized LiP2Ir structure, computed with GGA-PBE.

Properties
Formation energy, meV/atom: 173

a b c (Å): 2.705 2.705 9.176
angles (deg): 90.00 90.00 117.49
Fractional coordinates of all 4 atoms:
1 Ir 0.000 0.000 0.498
2 Li 0.500 0.500 0.745
3 P 0.000 0.000 0.974
4 P 0.500 0.500 0.283



A geometry-optimized TcIr2Rh6 structure, computed with GGA-PBE.

Properties
Formation energy, meV/atom: -32

a b c (Å): 5.175 7.037 7.245
angles (deg): 98.51 95.66 96.80
Fractional coordinates of all 18 atoms:
1 Tc 0.089 0.845 0.054
2 Tc 0.911 0.155 0.946
3 Ir 0.129 0.379 0.274
4 Ir 0.355 0.601 0.613
5 Ir 0.871 0.621 0.726
6 Ir 0.645 0.399 0.387
7 Rh 0.543 0.286 0.723
8 Rh 0.018 0.270 0.612
9 Rh 0.457 0.714 0.277
10 Rh 0.982 0.730 0.388
11 Rh 0.683 0.935 0.614
12 Rh 0.766 0.510 0.057
13 Rh 0.317 0.065 0.386
14 Rh 0.234 0.490 0.943
15 Rh 0.421 0.173 0.057
16 Rh 0.197 0.954 0.723
17 Rh 0.579 0.827 0.943
18 Rh 0.803 0.046 0.277



A geometry-optimized Ac7Pr5 structure, computed with GGA-PBE.

Properties
Formation energy, meV/atom: 24

a b c (Å): 5.502 8.669 11.621
angles (deg): 72.56 76.31 71.50
Fractional coordinates of all 12 atoms:
1 Ac 0.998 0.007 0.997
2 Ac 0.415 0.924 0.245
3 Ac 0.832 0.833 0.502
4 Ac 0.249 0.744 0.757
5 Ac 0.090 0.578 0.241
6 Ac 0.500 0.496 0.503
7 Ac 0.164 0.167 0.506
8 Pr 0.671 0.661 0.997
9 Pr 0.915 0.414 0.755
10 Pr 0.334 0.336 0.996
11 Pr 0.751 0.254 0.243
12 Pr 0.579 0.085 0.757



A geometry-optimized ErThPtRh structure, computed with GGA-PBE.

Properties
Formation energy, meV/atom: -1134

a b c (Å): 3.813 4.332 5.784
angles (deg): 90.00 109.25 90.00
Fractional coordinates of all 4 atoms:
1 Er 0.140 0.000 0.279
2 Th 0.865 0.500 0.731
3 Pt 0.591 0.500 0.183
4 Rh 0.404 0.000 0.807



A geometry-optimized Zr2V2GaRu5 structure, computed with GGA-PBE.

Properties
Formation energy, meV/atom: -262

a b c (Å): 3.180 9.995 9.995
angles (deg): 90.00 90.00 90.00
Fractional coordinates of all 20 atoms:
1 Zr 0.000 0.673 0.173
2 Zr 0.000 0.327 0.827
3 Zr 0.000 0.173 0.327
4 Zr 0.000 0.827 0.673
5 V 0.000 0.131 0.631
6 V 0.000 0.869 0.369
7 V 0.000 0.631 0.869
8 V 0.000 0.369 0.131
9 Ga 0.000 0.000 0.000
10 Ga 0.000 0.500 0.500
11 Ru 0.500 0.200 0.061
12 Ru 0.500 0.800 0.939
13 Ru 0.500 0.061 0.800
14 Ru 0.500 0.700 0.439
15 Ru 0.500 0.939 0.200
16 Ru 0.500 0.300 0.561
17 Ru 0.500 0.561 0.700
18 Ru 0.500 0.439 0.300
19 Ru 0.500 0.500 0.000
20 Ru 0.500 0.000 0.500



A geometry-optimized CaSi2W structure, computed with GGA-PBE.

Properties
Uncorrected energy, Ha/atom: -0.224

a b c (Å): 2.862 7.073 5.346
angles (deg): 40.91 90.00 90.00
Fractional coordinates of all 4 atoms:
1 Ca 0.000 0.000 0.500
2 Si 0.000 0.000 0.000
3 Si 0.500 0.500 0.000
4 W 0.500 0.500 0.500



A geometry-optimized ThSi2Pt8 structure, computed with GGA-PBE.

Properties
Uncorrected energy, Ha/atom: -0.242

a b c (Å): 5.488 5.488 7.401
angles (deg): 90.00 90.00 90.00
Fractional coordinates of all 11 atoms:
1 Th 0.500 0.500 0.500
2 Si 0.500 0.000 0.000
3 Si 0.000 0.500 0.000
4 Pt 0.754 0.754 0.205
5 Pt 0.754 0.246 0.795
6 Pt 0.754 0.754 0.795
7 Pt 0.754 0.246 0.205
8 Pt 0.246 0.754 0.205
9 Pt 0.246 0.754 0.795
10 Pt 0.246 0.246 0.205
11 Pt 0.246 0.246 0.795



A geometry-optimized Nd3Ni2Rh7 structure, computed with GGA-PBE.

Properties
Formation energy, meV/atom: -509

a b c (Å): 5.326 5.326 9.116
angles (deg): 73.01 73.01 60.00
Fractional coordinates of all 12 atoms:
1 Nd 0.000 0.000 0.000
2 Nd 0.861 0.861 0.418
3 Nd 0.139 0.139 0.582
4 Ni 0.667 0.667 0.999
5 Ni 0.333 0.333 0.001
6 Rh 0.500 0.500 0.500
7 Rh 0.922 0.421 0.237
8 Rh 0.421 0.922 0.237
9 Rh 0.421 0.421 0.237
10 Rh 0.078 0.579 0.763
11 Rh 0.579 0.579 0.763
12 Rh 0.579 0.078 0.763



Respective volume values: 26.3 18.2 29.6 14.1 14.9 14.3 41.3 22.6 15.9 17.7 20.3 17.6 Å³/atom.
Respective M_tot values: 0.0 0.0 0.0 0.0 0.0 0.0 0.0 0.0 0.0 0.0 0.0 0.0 μB per cell.